(1)
The following is a PBE calculation of Re2SnGeC after structural relaxation, from Alexandria via LeMat-Bulk.

Cell lengths 4.160, 4.534, 4.160 Å; angles 90.00, 90.00, 90.00 degrees
Atoms (fractional coordinates):
C: 0.000 0.000 0.000
Re: 0.000 0.000 0.500
Re: 0.500 0.000 0.000
Ge: 0.000 0.500 0.000
Sn: 0.500 0.500 0.500

Calculated values
The value obtained for the mass density is 12.18 g/cm³. The calculation puts the size of the total moment at 0.000 μB/f.u. The calculation puts the calculated volume at 78.5 Å³ per cell. The final energy comes out at -7.678 eV/atom.


(2)
The following is a PBE calculation of Dy2GaBPt6 after structural relaxation, from Alexandria via LeMat-Bulk.

Cell lengths 5.668, 7.337, 8.633 Å; angles 90.00, 90.00, 90.00 degrees
Atoms (fractional coordinates):
Dy: 0.500 0.715 0.284
Dy: 0.000 0.285 0.784
Dy: 0.500 0.715 0.716
Dy: 0.000 0.285 0.216
Ga: 0.000 0.680 0.500
Ga: 0.500 0.320 0.000
B: 0.500 0.192 0.500
B: 0.000 0.808 0.000
Pt: 0.500 0.145 0.255
Pt: 0.500 0.145 0.745
Pt: 0.000 0.855 0.245
Pt: 0.000 0.855 0.755
Pt: 0.241 0.984 0.500
Pt: 0.759 0.984 0.500
Pt: 0.251 0.404 0.500
Pt: 0.749 0.404 0.500
Pt: 0.751 0.596 0.000
Pt: 0.249 0.596 0.000
Pt: 0.259 0.016 0.000
Pt: 0.741 0.016 0.000

Calculated values
The value obtained for the mass density is 14.58 g/cm³. The calculation puts the size of the total moment at 0.000 μB/f.u. The calculation puts the calculated volume at 359.0 Å³ per cell. The final energy comes out at -6.424 eV/atom.


Let's list D(E_F) in order: 0.70; 0.31 states/eV/atom.
Let's list energy of formation in order: 419.6; -877.0 kJ/mol of formula units.